A geometry-optimized Si2As structure, computed with PBE.

Cell: 6.247 6.247 6.274 Å, 62.09 62.09 31.99°
Atoms (fractional coordinates):
As (0.485, 0.485, 0.813)
As (0.515, 0.515, 0.187)
Si (0.172, 0.172, 0.165)
Si (0.828, 0.828, 0.835)
Si (0.693, 0.693, 0.447)
Si (0.307, 0.307, 0.553)

* crystal system: monoclinic
* energy relative to the elements, uncorrected: 0.281 eV/atom
* density: 3.84 g/cm³
* polymorph energy (0 for the lowest one): 122 meV per atom